# 1
VASP calculation (SCAN) on CuSbHI2 at its PBEsol-relaxed geometry.

## Properties
total DFT energy (no corrections) = -125.8 eV/cell
ρ = 5.0 g/cm³

Unit cell a=4.8363 b=5.5118 c=5.5118 alpha=90.00 beta=90.00 gamma=90.00
Closest atoms and distances in Å follow each position.
Sites, in units of the cell vectors:
Cu 0.0000 0.0000 0.0000  2 Sb 2.42
I 0.0000 0.5000 0.0000  2 Cu 2.76
I 0.0000 0.0000 0.5000  2 Cu 2.76
H 0.5000 0.5000 0.5000  8 I 3.67, 4 Sb 3.90
Sb 0.5000 0.0000 0.0000  2 Cu 2.42

---

# 2
VASP calculation (SCAN) on In3CuH at its PBEsol-relaxed geometry.

## Properties
total DFT energy (no corrections) = -116.5 eV/cell
ρ = 5.7 g/cm³

Unit cell a=4.9291 b=4.9291 c=4.9291 alpha=90.00 beta=90.00 gamma=90.00
Closest atoms and distances in Å follow each position.
Sites, in units of the cell vectors:
In 0.0000 0.0000 0.5000  2 Cu 2.46
In 0.5000 0.0000 0.0000  2 Cu 2.46
Cu 0.0000 0.0000 0.0000  6 In 2.46
In 0.0000 0.5000 0.0000  2 Cu 2.46
H 0.5000 0.5000 0.5000  12 In 3.49

---

# 3
VASP calculation (SCAN) on ZnIn2CuH at its PBEsol-relaxed geometry.

## Properties
total DFT energy (no corrections) = -95.0 eV/cell
ρ = 5.2 g/cm³

Unit cell a=4.4861 b=5.0612 c=5.0612 alpha=90.00 beta=90.00 gamma=90.00
Closest atoms and distances in Å follow each position.
Sites, in units of the cell vectors:
Zn 0.0000 0.0000 0.0000  2 Cu 2.24
H 0.5000 0.5000 0.5000  8 In 3.38, 4 Cu 3.58
In 0.0000 0.0000 0.5000  2 Zn 2.53
Cu 0.5000 0.0000 0.0000  2 Zn 2.24
In 0.0000 0.5000 0.0000  2 Zn 2.53

---

# 4
VASP calculation (SCAN) on Cu3HIr at its PBEsol-relaxed geometry.

## Properties
total DFT energy (no corrections) = -118.9 eV/cell
ρ = 12.6 g/cm³

Unit cell a=3.6953 b=3.6953 c=3.6953 alpha=90.00 beta=90.00 gamma=90.00
Closest atoms and distances in Å follow each position.
Sites, in units of the cell vectors:
Cu 0.0000 0.0000 0.5000  2 H 1.85
H 0.0000 0.0000 0.0000  6 Cu 1.85
Cu 0.5000 0.0000 0.0000  2 H 1.85
Cu 0.0000 0.5000 0.0000  2 H 1.85
Ir 0.5000 0.5000 0.5000  12 Cu 2.61

---

# 5
VASP calculation (SCAN) on Y2CuHIr at its PBEsol-relaxed geometry.

## Properties
total DFT energy (no corrections) = -142.8 eV/cell
ρ = 6.2 g/cm³

Unit cell a=4.4343 b=5.1348 c=5.1348 alpha=90.00 beta=90.00 gamma=90.00
Closest atoms and distances in Å follow each position.
Sites, in units of the cell vectors:
Y 0.0000 0.0000 0.5000  2 Cu 2.57
Y 0.0000 0.5000 0.0000  2 Cu 2.57
Cu 0.0000 0.0000 0.0000  2 Ir 2.22
H 0.5000 0.5000 0.5000  8 Y 3.39, 4 Ir 3.63
Ir 0.5000 0.0000 0.0000  2 Cu 2.22

---

# 6
VASP calculation (SCAN) on K2CuH4 at its PBEsol-relaxed geometry.

## Properties
total DFT energy (no corrections) = -46.2 eV/cell
ρ = 2.0 g/cm³

Unit cell a=5.4426 b=5.4426 c=5.4426 alpha=95.41 beta=116.93 gamma=116.93
Closest atoms and distances in Å follow each position.
Sites, in units of the cell vectors:
H 0.6048 0.8024 0.8024  1 Cu 1.59
H 0.3952 0.1976 0.1976  1 Cu 1.59
K 0.5000 0.2500 0.7500  8 H 2.75
H 0.0000 0.8024 0.1976  1 Cu 1.59
Cu 0.0000 0.0000 0.0000  4 H 1.59
H 0.0000 0.1976 0.8024  1 Cu 1.59
K 0.5000 0.7500 0.2500  8 H 2.75

---

# 7
VASP calculation (SCAN) on KCu3H at its PBEsol-relaxed geometry.

## Properties
total DFT energy (no corrections) = -46.0 eV/cell
ρ = 2.5 g/cm³

Unit cell a=5.3549 b=5.3549 c=5.3549 alpha=90.00 beta=90.00 gamma=90.00
Closest atoms and distances in Å follow each position.
Sites, in units of the cell vectors:
Cu 0.5000 0.0000 0.0000  2 K 2.68
H 0.5000 0.5000 0.5000  12 Cu 3.79
K 0.0000 0.0000 0.0000  6 Cu 2.68
Cu 0.0000 0.5000 0.0000  2 K 2.68
Cu 0.0000 0.0000 0.5000  2 K 2.68

---

# 8
VASP calculation (SCAN) on KCuNiH2 at its PBEsol-relaxed geometry.

## Properties
total DFT energy (no corrections) = -41.5 eV/cell
ρ = 3.8 g/cm³

Unit cell a=3.6441 b=3.6441 c=5.3316 alpha=90.00 beta=90.00 gamma=90.00
Closest atoms and distances in Å follow each position.
Sites, in units of the cell vectors:
Ni 0.0000 0.0000 0.0000  4 H 1.82
Cu 0.5000 0.5000 0.5000  4 K 2.58
H 0.5000 0.0000 0.0000  2 Ni 1.82
K 0.0000 0.0000 0.5000  4 Cu 2.58, 2 Ni 2.67
H 0.0000 0.5000 0.0000  2 Ni 1.82